Record 1
The following is a PBE calculation of crystalline PmHo7Th3 at its relaxed geometry, from Alexandria via LeMat-Bulk.

The calculation puts the energy above the most stable polymorph in this dataset at 6.3 kJ/mol of atoms. The density of states at the Fermi level comes out at 14.816 states/eV per cell. The value obtained for the formation energy is 214 meV per atom.

It has space group P3m1 (No. 156), with a = 7.0565 Å, b = 7.0565 Å, c = 8.5449 Å, α = 90.00°, β = 90.00° and γ = 120.00°. The distinct sites, in fractional coordinates, are Pm at (0.0000, 0.0000, 0.0000), Ho at (0.0028, 0.5014, 0.9960), Ho at (0.3317, 0.1658, 0.6582), Ho at (0.3333, 0.6667, 0.6570) and Th at (0.1676, 0.3352, 0.3289).

Record 2
The following is a PBE calculation of crystalline Hg2Te2Br at its relaxed geometry, from Alexandria via LeMat-Bulk.

The calculation puts the energy above the most stable polymorph in this dataset at 12.5 kJ/mol of atoms. The density of states at the Fermi level comes out at 8.676 states/eV per cell.

It has space group P4/mbm (No. 127), with a = 8.817 Å, b = 8.817 Å, c = 3.630 Å, α = 90.00°, β = 90.00° and γ = 90.00°. The distinct sites, in fractional coordinates, are Hg at (0.165, 0.335, 0.000), Te at (0.139, 0.639, 0.500) and Br at (0.000, 0.000, 0.000).

Record 3
The following is a PBE calculation of crystalline Sm4NiSeS2 at its relaxed geometry, from Alexandria via LeMat-Bulk.

Its total energy is -0.2219 Ha/atom. The density of states at the Fermi level comes out at 15.303 states/eV per cell.

It has space group I-4m2 (No. 119), with a = 5.753 Å, b = 5.753 Å, c = 11.488 Å, α = 90.00°, β = 90.00° and γ = 90.00°. The distinct sites, in fractional coordinates, are Sm at (0.000, 0.000, 0.245), Sm at (0.000, 0.500, 0.000), Ni at (0.000, 0.500, 0.250), Se at (0.000, 0.000, 0.500), S at (0.000, 0.000, 0.000) and S at (0.000, 0.500, 0.750).

Record 4
The following is a PBE calculation of crystalline MgTa2Ti2Ir5 at its relaxed geometry, from Alexandria via LeMat-Bulk.

The density of states at the Fermi level comes out at 14.864 states/eV per cell. The value obtained for the formation energy is -322 meV per atom.

It has space group P4/mbm (No. 127), with a = 9.217 Å, b = 9.217 Å, c = 3.802 Å, α = 90.00°, β = 90.00° and γ = 90.00°. The distinct sites, in fractional coordinates, are Mg at (0.000, 0.000, 0.000), Ta at (0.174, 0.326, 0.000), Ti at (0.126, 0.626, 0.000), Ir at (0.000, 0.500, 0.500) and Ir at (0.067, 0.796, 0.500).

Record 5
The following is a PBE calculation of crystalline Sc2Mn2Cd at its relaxed geometry, from Alexandria via LeMat-Bulk.

The density of states at the Fermi level comes out at 8.351 states/eV per cell. The value obtained for the formation energy is 106 meV per atom.

It has space group I4/mmm (No. 139), with a = 3.184 Å, b = 3.184 Å, c = 18.092 Å, α = 90.00°, β = 90.00° and γ = 90.00°. The distinct sites, in fractional coordinates, are Sc at (0.000, 0.000, 0.123), Mn at (0.000, 0.500, 0.250) and Cd at (0.000, 0.000, 0.500).

Record 6
The following is a PBE calculation of crystalline CaOs2Rh at its relaxed geometry, from Alexandria via LeMat-Bulk.

The calculation puts the energy above the most stable polymorph in this dataset at 28.7 kJ/mol of atoms. The density of states at the Fermi level comes out at 8.916 states/eV per cell. The value obtained for the formation energy is 515 meV per atom.

It has space group Cmmm (No. 65), with a = 5.510 Å, b = 8.650 Å, c = 2.699 Å, α = 90.00°, β = 90.00° and γ = 90.00°. The distinct sites, in fractional coordinates, are Ca at (0.000, 0.000, 0.000), Os at (0.250, 0.250, 0.500) and Rh at (0.000, 0.500, 0.000).

Record 7
The following is a PBE calculation of crystalline YZn3CuPt at its relaxed geometry, from Alexandria via LeMat-Bulk.

The density of states at the Fermi level comes out at 10.231 states/eV per cell. The value obtained for the formation energy is -301 meV per atom.

It has space group Cmcm (No. 63), with a = 7.998 Å, b = 10.897 Å, c = 5.326 Å, α = 90.00°, β = 90.00° and γ = 90.00°. The distinct sites, in fractional coordinates, are Y at (0.000, 0.194, 0.250), Zn at (0.000, 0.327, 0.750), Zn at (0.249, 0.000, 0.000), Cu at (0.000, 0.451, 0.250) and Pt at (0.000, 0.092, 0.750).

Record 8
The following is a PBE calculation of crystalline RbCdInBi at its relaxed geometry, from Alexandria via LeMat-Bulk.

The calculation puts the energy above the most stable polymorph in this dataset at 0.0 kJ/mol of atoms. The density of states at the Fermi level comes out at 3.464 states/eV per cell. The value obtained for the formation energy is -102 meV per atom.

It has space group P4/nmm (No. 129, origin choice 2), with a = 5.190 Å, b = 5.190 Å, c = 11.842 Å, α = 90.00°, β = 90.00° and γ = 90.00°. The distinct sites, in fractional coordinates, are Rb at (0.250, 0.250, 0.242), Cd at (0.250, 0.750, 0.000), In at (0.250, 0.750, 0.500) and Bi at (0.250, 0.250, 0.648).